# 1
HfNiTeH2: optimized geometry, PBE.

Calculated values
As for the density of states at the Fermi level: 1.00 states/eV/atom. The space-group type is P4/mmm.

Lattice parameters (Å, degrees): 3.7694 3.7694 5.4459 90.00 90.00 90.00
Fractional positions:
Hf: 0.0000 0.0000 0.0000
Ni: 0.5000 0.5000 0.0000
Te: 0.5000 0.5000 0.5000
H: 0.0000 0.5000 0.5000
H: 0.5000 0.0000 0.5000

# 2
HfBAu: optimized geometry, PBE.

Calculated values
As for the density of states at the Fermi level: 0.44 states/eV/atom. The calculation puts the formation energy at -0.3099 eV/atom. The space-group type is Cm.

Lattice parameters (Å, degrees): 6.0825 6.0825 5.0828 97.85 97.85 30.40
Fractional positions:
Hf: 0.0000 0.0000 0.0000
Hf: 0.6459 0.6459 0.5905
B: 0.1846 0.1846 0.2757
B: 0.6522 0.6522 0.1239
Au: 0.2965 0.2965 0.9684
Au: 0.4027 0.4027 0.5064

# 3
Ac2CuSb4Pt3: optimized geometry, PBE.

Calculated values
As for the density of states at the Fermi level: 0.31 states/eV/atom. The space-group type is P-4m2. For the formation energy from raw total energies, the calculation gives -0.827 eV per atom.

Lattice parameters (Å, degrees): 4.7566 4.7566 10.5771 90.00 90.00 90.00
Fractional positions:
Ac: 0.0000 0.5000 0.2390
Ac: 0.5000 0.0000 0.7610
Cu: 0.5000 0.5000 0.0000
Sb: 0.0000 0.0000 0.5000
Sb: 0.0000 0.5000 0.8758
Sb: 0.5000 0.0000 0.1242
Sb: 0.5000 0.5000 0.5000
Pt: 0.0000 0.0000 0.0000
Pt: 0.0000 0.5000 0.6237
Pt: 0.5000 0.0000 0.3763

# 4
KBe2AgF8: optimized geometry, PBE.

Calculated values
The space-group type is C2/m. For the formation energy from raw total energies, the calculation gives -2.422 eV per atom.

Lattice parameters (Å, degrees): 4.8969 4.8969 7.9952 93.70 93.70 67.67
Fractional positions:
K: 0.0000 0.0000 0.0000
Be: 0.3759 0.3759 0.7110
Be: 0.6241 0.6241 0.2890
Ag: 0.0000 0.0000 0.5000
F: 0.2510 0.7276 0.6985
F: 0.2584 0.2584 0.5447
F: 0.2724 0.7490 0.3015
F: 0.3058 0.3058 0.8781
F: 0.6942 0.6942 0.1219
F: 0.7276 0.2510 0.6985
F: 0.7416 0.7416 0.4553
F: 0.7490 0.2724 0.3015

# 5
LiMo2Br: optimized geometry, PBE.

Calculated values
As for the density of states at the Fermi level: 0.61 states/eV/atom. The space-group type is Pmmm. As for the polymorph energy (0 for the lowest one): 684 meV/atom. For the formation energy from raw total energies, the calculation gives 0.754 eV per atom.

Lattice parameters (Å, degrees): 3.0196 4.7648 5.0849 90.00 90.00 90.00
Fractional positions:
Li: 0.0000 0.0000 0.0000
Mo: 0.5000 0.5000 0.2128
Mo: 0.5000 0.5000 0.7872
Br: 0.0000 0.0000 0.5000

# 6
PrInPt4: optimized geometry, PBE.

Calculated values
As for the density of states at the Fermi level: 0.42 states/eV/atom. The calculation puts the formation energy at -0.8044 eV/atom. The space-group type is F-43m.

Lattice parameters (Å, degrees): 5.4631 5.4631 5.4631 60.00 60.00 60.00
Fractional positions:
Pr: 0.0000 0.0000 0.0000
In: 0.7500 0.7500 0.7500
Pt: 0.3756 0.3756 0.3756
Pt: 0.3756 0.3756 0.8732
Pt: 0.3756 0.8732 0.3756
Pt: 0.8732 0.3756 0.3756

# 7
Ca2Ge3SbPt4: optimized geometry, PBE.

Calculated values
As for the density of states at the Fermi level: 0.42 states/eV/atom. The space-group type is P-4m2. For the formation energy from raw total energies, the calculation gives -0.758 eV per atom.

Lattice parameters (Å, degrees): 4.4226 4.4226 10.3754 90.00 90.00 90.00
Fractional positions:
Ca: 0.0000 0.5000 0.2392
Ca: 0.5000 0.0000 0.7608
Ge: 0.0000 0.5000 0.8783
Ge: 0.5000 0.0000 0.1217
Ge: 0.5000 0.5000 0.5000
Sb: 0.0000 0.0000 0.5000
Pt: 0.0000 0.0000 0.0000
Pt: 0.0000 0.5000 0.6417
Pt: 0.5000 0.0000 0.3583
Pt: 0.5000 0.5000 0.0000

# 8
TcPdPb2: optimized geometry, PBE.

Calculated values
As for the density of states at the Fermi level: 0.65 states/eV/atom. The calculation puts the formation energy at 0.4084 eV/atom. The space-group type is Fm-3m. As for the polymorph energy (0 for the lowest one): 0 meV/atom.

Lattice parameters (Å, degrees): 4.8390 4.8390 4.8390 60.00 60.00 60.00
Fractional positions:
Tc: 0.0000 0.0000 0.0000
Pd: 0.5000 0.5000 0.5000
Pb: 0.2500 0.2500 0.2500
Pb: 0.7500 0.7500 0.7500

# 9
Li2NpFeH8: optimized geometry, PBE.

Calculated values
As for the density of states at the Fermi level: 0.79 states/eV/atom. The space-group type is P2/m.

Lattice parameters (Å, degrees): 4.3566 4.2897 5.1423 90.00 107.21 90.00
Fractional positions:
Li: 0.0774 0.0000 0.2781
Li: 0.9226 0.0000 0.7219
Np: 0.5000 0.5000 0.0000
Fe: 0.0000 0.5000 0.5000
H: 0.0710 0.5000 0.2098
H: 0.2668 0.2430 0.6062
H: 0.2668 0.7570 0.6062
H: 0.3044 0.0000 0.0404
H: 0.6956 0.0000 0.9596
H: 0.7332 0.2430 0.3938
H: 0.7332 0.7570 0.3938
H: 0.9290 0.5000 0.7902

# 10
MnBe3: optimized geometry, PBE.

Calculated values
As for the density of states at the Fermi level: 0.51 states/eV/atom. The calculation puts the formation energy at 0.0174 eV/atom. The space-group type is Pmmm.

Lattice parameters (Å, degrees): 2.3212 3.1636 4.7478 90.00 90.00 90.00
Fractional positions:
Mn: 0.0000 0.0000 0.0000
Be: 0.0000 0.0000 0.5000
Be: 0.5000 0.5000 0.2551
Be: 0.5000 0.5000 0.7449

# 11
Ba2Al4Ga3Si: optimized geometry, PBE.

Calculated values
As for the density of states at the Fermi level: 0.41 states/eV/atom. The space-group type is P-4m2. For the formation energy from raw total energies, the calculation gives -0.321 eV per atom.

Lattice parameters (Å, degrees): 4.5805 4.5805 10.8937 90.00 90.00 90.00
Fractional positions:
Ba: 0.0000 0.5000 0.2450
Ba: 0.5000 0.0000 0.7550
Al: 0.0000 0.0000 0.5000
Al: 0.0000 0.5000 0.8782
Al: 0.5000 0.0000 0.1218
Al: 0.5000 0.5000 0.5000
Ga: 0.0000 0.0000 0.0000
Ga: 0.0000 0.5000 0.6323
Ga: 0.5000 0.0000 0.3677
Si: 0.5000 0.5000 0.0000

# 12
KTlRuBr6: optimized geometry, PBE.

Calculated values
As for the density of states at the Fermi level: 0.11 states/eV/atom. The space-group type is P-31c. For the formation energy from raw total energies, the calculation gives -0.708 eV per atom.

Lattice parameters (Å, degrees): 7.2894 7.2894 13.8073 90.00 90.00 120.00
Fractional positions:
K: 0.0000 0.0000 0.0000
K: 0.0000 0.0000 0.5000
Tl: 0.3333 0.6667 0.2500
Tl: 0.6667 0.3333 0.7500
Ru: 0.3333 0.6667 0.7500
Ru: 0.6667 0.3333 0.2500
Br: 0.0486 0.3881 0.6452
Br: 0.0486 0.6605 0.8548
Br: 0.3395 0.3881 0.8548
Br: 0.3395 0.9514 0.6452
Br: 0.3881 0.0486 0.1452
Br: 0.3881 0.3395 0.3548
Br: 0.6119 0.6605 0.6452
Br: 0.6119 0.9514 0.8548
Br: 0.6605 0.0486 0.3548
Br: 0.6605 0.6119 0.1452
Br: 0.9514 0.3395 0.1452
Br: 0.9514 0.6119 0.3548

# 13
ScNiPdPt: optimized geometry, PBE.

Calculated values
As for the density of states at the Fermi level: 1.05 states/eV/atom. The calculation puts the formation energy at -0.7880 eV/atom. The space-group type is Pmmm. As for the polymorph energy (0 for the lowest one): 0 meV/atom.

Lattice parameters (Å, degrees): 3.8364 3.9586 3.9810 90.00 90.00 90.00
Fractional positions:
Sc: 0.0000 0.0000 0.0000
Ni: 0.0000 0.5000 0.5000
Pd: 0.5000 0.5000 0.0000
Pt: 0.5000 0.0000 0.5000

# 14
BaPPb2: optimized geometry, PBE.

Calculated values
As for the density of states at the Fermi level: 0.60 states/eV/atom. The calculation puts the formation energy at -0.2198 eV/atom. The space-group type is P4/mmm.

Lattice parameters (Å, degrees): 4.7819 4.7819 5.2480 90.00 90.00 90.00
Fractional positions:
Ba: 0.0000 0.0000 0.0000
P: 0.5000 0.5000 0.0000
Pb: 0.0000 0.5000 0.5000
Pb: 0.5000 0.0000 0.5000

# 15
NaB2Se3: optimized geometry, PBE.

Calculated values
As for the density of states at the Fermi level: 0.13 states/eV/atom. The space-group type is C2/m. For the formation energy from raw total energies, the calculation gives -0.066 eV per atom.

Lattice parameters (Å, degrees): 10.0662 10.0662 6.7432 104.08 104.08 22.18
Fractional positions:
Na: 0.1448 0.1448 0.4468
Na: 0.8552 0.8552 0.5532
B: 0.1969 0.1969 0.9999
B: 0.4438 0.4438 0.0833
B: 0.5562 0.5562 0.9167
B: 0.8031 0.8031 0.0001
Se: 0.0964 0.0964 0.8283
Se: 0.2782 0.2782 0.8445
Se: 0.4500 0.4500 0.7845
Se: 0.5500 0.5500 0.2155
Se: 0.7218 0.7218 0.1555
Se: 0.9036 0.9036 0.1717

# 16
SrNd2ThSe4: optimized geometry, PBE.

Calculated values
As for the density of states at the Fermi level: 0.57 states/eV/atom. The space-group type is P2/m. For the formation energy from raw total energies, the calculation gives -1.774 eV per atom.

Lattice parameters (Å, degrees): 7.3328 4.2384 7.4559 90.00 109.18 90.00
Fractional positions:
Sr: 0.0000 0.0000 0.0000
Nd: 0.5000 0.0000 0.5000
Nd: 0.5000 0.5000 0.0000
Th: 0.0000 0.5000 0.5000
Se: 0.2498 0.0000 0.7476
Se: 0.2523 0.5000 0.2549
Se: 0.7477 0.5000 0.7451
Se: 0.7502 0.0000 0.2524

# 17
Mg3ZrCu4: optimized geometry, PBE.

Calculated values
As for the density of states at the Fermi level: 0.45 states/eV/atom. The calculation puts the formation energy at -0.1063 eV/atom. The space-group type is R-3m.

Lattice parameters (Å, degrees): 7.8237 7.8237 7.8237 33.42 33.42 33.42
Fractional positions:
Mg: 0.0000 0.0000 0.0000
Mg: 0.2514 0.2514 0.2514
Mg: 0.7486 0.7486 0.7486
Zr: 0.5000 0.5000 0.5000
Cu: 0.1241 0.1241 0.1241
Cu: 0.3765 0.3765 0.3765
Cu: 0.6235 0.6235 0.6235
Cu: 0.8759 0.8759 0.8759

# 18
Ce4ScPb2: optimized geometry, PBE.

Calculated values
As for the density of states at the Fermi level: 3.30 states/eV/atom. The calculation puts the formation energy at -0.1625 eV/atom. The space-group type is Cmmm.

Lattice parameters (Å, degrees): 6.7646 6.7646 4.6517 90.00 90.00 93.76
Fractional positions:
Ce: 0.0000 0.5000 0.5000
Ce: 0.2133 0.2133 0.0000
Ce: 0.5000 0.0000 0.5000
Ce: 0.7867 0.7867 0.0000
Sc: 0.5000 0.5000 0.5000
Pb: 0.2836 0.7164 0.0000
Pb: 0.7164 0.2836 0.0000

# 19
TmPaAl: optimized geometry, PBE.

Calculated values
As for the density of states at the Fermi level: 1.75 states/eV/atom. The calculation puts the formation energy at -0.0736 eV/atom. The space-group type is I4mm. As for the polymorph energy (0 for the lowest one): 0 meV/atom.

Lattice parameters (Å, degrees): 7.3923 7.3923 7.3923 155.14 155.14 35.44
Fractional positions:
Tm: 0.0000 0.0000 0.0000
Pa: 0.3090 0.3090 0.0000
Al: 0.6547 0.6547 0.0000

# 20
Li2SiPb: optimized geometry, PBE.

Calculated values
As for the density of states at the Fermi level: 0.22 states/eV/atom. The space-group type is Cm. As for the polymorph energy (0 for the lowest one): 55 meV/atom. For the formation energy from raw total energies, the calculation gives -0.029 eV per atom.

Lattice parameters (Å, degrees): 5.3335 5.3335 4.8812 99.99 99.99 34.39
Fractional positions:
Li: 0.0000 0.0000 0.0000
Li: 0.2359 0.2359 0.7445
Si: 0.7240 0.7240 0.2185
Pb: 0.4739 0.4739 0.4809

# 21
Cs5Rb2O: optimized geometry, PBE.

Calculated values
As for the density of states at the Fermi level: 0.67 states/eV/atom. The space-group type is P1. For the formation energy from raw total energies, the calculation gives -0.330 eV per atom.

Lattice parameters (Å, degrees): 8.9836 9.8307 9.8452 78.06 62.92 63.05
Fractional positions:
Cs: 0.0000 0.0000 0.0000
Cs: 0.0007 0.6854 0.3145
Cs: 0.3132 0.6856 0.6856
Cs: 0.3138 0.3710 0.0001
Cs: 0.6569 0.6855 0.0001
Rb: 0.4095 0.1834 0.4999
Rb: 0.9071 0.1876 0.5002
O: 0.1567 0.6855 0.0001

# 22
ZnPCl: optimized geometry, PBE.

Calculated values
As for the density of states at the Fermi level: 0.44 states/eV/atom. The space-group type is P3m1. As for the polymorph energy (0 for the lowest one): 419 meV/atom. For the formation energy from raw total energies, the calculation gives -0.030 eV per atom.

Lattice parameters (Å, degrees): 3.2108 3.2108 7.3476 90.00 90.00 120.00
Fractional positions:
Zn: 0.0000 0.0000 0.0000
P: 0.3333 0.6667 0.7504
Cl: 0.6667 0.3333 0.2128

# 23
TcWN: optimized geometry, PBE.

Calculated values
As for the density of states at the Fermi level: 0.50 states/eV/atom. The space-group type is Cm. As for the polymorph energy (0 for the lowest one): 69 meV/atom. For the formation energy from raw total energies, the calculation gives -0.065 eV per atom.

Lattice parameters (Å, degrees): 5.3298 5.3298 5.8851 121.87 121.87 31.04
Fractional positions:
Tc: 0.0000 0.0000 0.0000
Tc: 0.7457 0.7457 0.4151
W: 0.4446 0.4446 0.3276
W: 0.7051 0.7051 0.8668
N: 0.0184 0.0184 0.6439
N: 0.3053 0.3053 0.7323

# 24
CaMgTa2: optimized geometry, PBE.

Calculated values
As for the density of states at the Fermi level: 0.86 states/eV/atom. The calculation puts the formation energy at 0.5797 eV/atom. The space-group type is C2/m.

Lattice parameters (Å, degrees): 6.1607 6.1607 2.8059 99.59 99.59 122.24
Fractional positions:
Ca: 0.0000 0.0000 0.0000
Mg: 0.5000 0.5000 0.0000
Ta: 0.0000 0.5000 0.5000
Ta: 0.5000 0.0000 0.5000

# 25
CsRbCu2F8: optimized geometry, PBE.

Calculated values
The space-group type is I-4. For the formation energy from raw total energies, the calculation gives -1.931 eV per atom.

Lattice parameters (Å, degrees): 7.0792 7.0792 7.0792 128.58 128.58 75.69
Fractional positions:
Cs: 0.0000 0.0000 0.0000
Rb: 0.2500 0.7500 0.5000
Cu: 0.5000 0.5000 0.0000
Cu: 0.7500 0.2500 0.5000
F: 0.0244 0.3267 0.8601
F: 0.2193 0.4921 0.6943
F: 0.4666 0.1642 0.1399
F: 0.4750 0.7807 0.2728
F: 0.5079 0.2023 0.7272
F: 0.6733 0.5334 0.6977
F: 0.7977 0.5250 0.3057
F: 0.8358 0.9756 0.3023

no.,raw total energy (eV per cell)
1,-22.533
2,-41.676
3,-55.192
4,-55.440
5,-22.234
6,-36.508
7,-53.724
8,-21.342
9,-54.521
10,-20.279
11,-36.530
12,-58.297
13,-26.498
14,-15.629
15,-51.044
16,-46.768
17,-30.567
18,-38.622
19,-17.931
20,-13.075
21,-13.800
22,-8.621
23,-63.678
24,-24.983
25,-48.152